The following is a PBE-GGA calculation of TmPuTl after structural relaxation, from Alexandria.

a = 5.300 Å, b = 5.300 Å, c = 3.431 Å
α = 90.00°, β = 90.00°, γ = 120.00°
Element x y z (fractional)
Tm: 0.000 0.000 0.000
Pu: 0.333 0.667 0.562
Tl: 0.667 0.333 0.220

Spin magnetization, μB/f.u.: 6.2
Energy above the most stable polymorph in this dataset, meV/atom: 0
Energy of formation, eV/atom: 0.012
D(E_F), states/eV per cell: 6.39
SG: P3m1 (156)